! DyHf2N4 (PBE-GGA, relaxed); values from VASP
&SYSTEM
  ibrav = 0, nat = 14, ntyp = 3
/
ATOMIC_SPECIES
Dy 162.50 Dy.upf
Hf 178.49 Hf.upf
N 14.01 N.upf
ATOMIC_POSITIONS crystal
Dy 0.609 0.219 0.750
Dy 0.391 0.781 0.250
Hf 0.132 0.264 0.431
Hf 0.868 0.736 0.931
Hf 0.132 0.264 0.069
Hf 0.868 0.736 0.569
N 0.765 0.529 0.115
N 0.765 0.529 0.385
N 0.235 0.471 0.885
N 0.235 0.471 0.615
N 0.955 0.910 0.750
N 0.045 0.090 0.250
N 0.500 0.000 0.000
N 0.500 0.000 0.500
CELL_PARAMETERS angstrom
3.217 0.000 0.000
-1.609 5.344 0.000
0.000 0.000 10.398
! symmetry: Cmcm, No. 63
! uncorrected formation energy: -1484 meV/atom
! raw total energy: -9.74 eV per atom
! total magnetic moment: 0.0 μB per cell
! N(E_F): 6.2 states/eV per cell